{
  "formula": "ScTc2AuS",
  "functional": "meta-GGA SCAN",
  "state": "PBEsol geometry",
  "m_tot_mub_per_cell": 5.73,
  "space_group": "No. 123",
  "formation_energy_uncorrected_ev_per_atom": 1.29,
  "lattice": [[-1.721, -1.808, -4.153], [1.636, -4.391, 1.233], [-4.373, -0.998, 2.247]],
  "species": ["Sc", "S", "Au", "Tc", "Tc"],
  "frac_coords": [[0.000, 0.000, 0.500], [0.500, 0.500, 0.500], [0.000, 0.000, 0.000], [0.000, 0.500, 0.000], [0.500, 0.000, 0.000]]
}

{
  "formula": "HgTePt",
  "functional": "meta-GGA SCAN",
  "state": "PBEsol geometry",
  "m_tot_mub_per_cell": 0.00,
  "relative_energy_mev_per_atom": 454.6,
  "space_group": "No. 216",
  "formation_energy_uncorrected_ev_per_atom": 0.33,
  "lattice": [[4.638, 0.000, 0.000], [2.319, 4.016, 0.000], [2.319, 1.339, 3.787]],
  "species": ["Hg", "Pt", "Te"],
  "frac_coords": [[0.000, 0.000, 0.000], [0.500, 0.500, 0.500], [0.750, 0.750, 0.750]]
}

{
  "formula": "KZnCr",
  "functional": "meta-GGA SCAN",
  "state": "PBEsol geometry",
  "m_tot_mub_per_cell": 4.67,
  "space_group": "No. 156",
  "e_form_ev_per_atom": 0.672,
  "lattice": [[-0.151, 0.456, 3.247], [-0.477, -2.993, -1.261], [7.505, -1.427, 0.550]],
  "species": ["Cr", "K", "Zn"],
  "frac_coords": [[0.000, 0.000, 0.050], [0.667, 0.333, 0.658], [0.333, 0.667, 0.292]]
}

{
  "formula": "CsPdN2F",
  "functional": "meta-GGA SCAN",
  "state": "PBEsol geometry",
  "m_tot_mub_per_cell": 2.93,
  "space_group": "No. 123",
  "formation_energy_uncorrected_ev_per_atom": 0.15,
  "lattice": [[-1.619, -3.299, 0.964], [2.273, -1.827, -2.436], [4.213, -0.754, 4.496]],
  "species": ["Cs", "N", "N", "Pd", "F"],
  "frac_coords": [[0.500, 0.500, 0.500], [0.000, 0.500, 0.000], [0.500, 0.000, 0.000], [0.000, 0.000, 0.000], [0.000, 0.000, 0.500]]
}

{
  "formula": "Sc3BeAs",
  "functional": "meta-GGA SCAN",
  "state": "PBEsol geometry",
  "m_tot_mub_per_cell": 0.00,
  "space_group": "No. 221",
  "e_form_ev_per_atom": -0.029,
  "lattice": [[-3.475, 3.119, -1.589], [-3.037, -3.800, -0.817], [-1.741, 0.403, 4.598]],
  "species": ["Sc", "Sc", "Sc", "Be", "As"],
  "frac_coords": [[0.000, 0.500, 0.000], [0.000, 0.000, 0.500], [0.500, 0.000, 0.000], [0.500, 0.500, 0.500], [0.000, 0.000, 0.000]]
}

{
  "formula": "GePN3",
  "functional": "meta-GGA SCAN",
  "state": "PBEsol geometry",
  "m_tot_mub_per_cell": 0.00,
  "space_group": "No. 221",
  "formation_energy_uncorrected_ev_per_atom": 0.96,
  "lattice": [[3.541, 0.000, 0.000], [0.000, 3.541, 0.000], [0.000, 0.000, 3.541]],
  "species": ["P", "Ge", "N", "N", "N"],
  "frac_coords": [[0.000, 0.000, 0.000], [0.500, 0.500, 0.500], [0.000, 0.500, 0.000], [0.000, 0.000, 0.500], [0.500, 0.000, 0.000]]
}

{
  "formula": "LiMg2ZnPt",
  "functional": "meta-GGA SCAN",
  "state": "PBEsol geometry",
  "m_tot_mub_per_cell": 0.00,
  "space_group": "No. 123",
  "e_form_ev_per_atom": 0.034,
  "lattice": [[4.645, 0.000, 0.000], [0.000, 4.846, 0.000], [0.000, 0.000, 4.846]],
  "species": ["Zn", "Mg", "Mg", "Pt", "Li"],
  "frac_coords": [[0.000, 0.000, 0.000], [0.000, 0.000, 0.500], [0.000, 0.500, 0.000], [0.500, 0.000, 0.000], [0.500, 0.500, 0.500]]
}

{
  "formula": "CuTe",
  "functional": "meta-GGA SCAN",
  "state": "PBEsol geometry",
  "m_tot_mub_per_cell": 0.00,
  "space_group": "No. 189",
  "formation_energy_uncorrected_ev_per_atom": 0.05,
  "lattice": [[-2.745, 0.681, 1.312], [2.585, -1.612, 6.244], [0.476, 6.509, -2.382]],
  "species": ["Cu", "Cu", "Cu", "Te", "Te", "Te"],
  "frac_coords": [[0.000, 0.000, 0.366], [0.000, 0.366, 0.000], [0.000, 0.634, 0.634], [0.000, 0.000, 0.000], [0.500, 0.333, 0.667], [0.500, 0.667, 0.333]]
}